BiH2F8 | PBE | optimized geometry

Cell: 5.3912 5.3912 8.1589 Å, 110.67 110.67 58.17°
With the nearest neighbours (Å) after each atom.
Sites, in units of the cell vectors:
Bi  0.0000  0.0000  0.0000  6 F 2.03-2.08
H  0.2345  0.2345  0.4020  1 F 1.01
H  0.7655  0.7655  0.5980  1 F 1.01
F  0.1864  0.6562  0.1250  1 Bi 2.03
F  0.2103  0.2103  0.2224  1 H 1.39
F  0.2553  0.2553  0.5331  1 H 1.01
F  0.3438  0.8136  0.8750  1 Bi 2.03
F  0.6562  0.1864  0.1250  1 Bi 2.03
F  0.7447  0.7447  0.4669  1 H 1.01
F  0.7897  0.7897  0.7776  1 H 1.39
F  0.8136  0.3438  0.8750  1 Bi 2.03

- VASP energy (eV per atom) = -3.79
- spin magnetization (Bohr magnetons per cell) = 0.062
- D(E_F) (states/eV per cell) = 2.7

Bi2HF | PBE | optimized geometry

Cell: 4.6784 4.6784 4.6784 Å, 60.00 60.00 60.00°
With the nearest neighbours (Å) after each atom.
Sites, in units of the cell vectors:
Bi  0.2500  0.2500  0.2500  4 F 2.86, 4 H 2.86
Bi  0.7500  0.7500  0.7500  4 F 2.86, 4 H 2.86
H  0.0000  0.0000  0.0000  8 Bi 2.86
F  0.5000  0.5000  0.5000  8 Bi 2.86

- VASP energy (eV per atom) = -3.45
- spin magnetization (Bohr magnetons per cell) = 0.000
- D(E_F) (states/eV per cell) = 0.9

BiHF | PBE | optimized geometry

Cell: 3.3650 4.5882 7.2505 Å, 71.63 87.25 86.68°
With the nearest neighbours (Å) after each atom.
Sites, in units of the cell vectors:
Bi  0.0070  0.1239  0.2529  2 H 2.07
Bi  0.9930  0.8761  0.7471  2 H 2.07
H  0.0186  0.7424  0.4997  2 Bi 2.07, 1 H 2.23
H  0.9814  0.2576  0.5003  2 Bi 2.07, 1 H 2.23
F  0.0090  0.6850  0.1293  3 Bi 2.45-2.63
F  0.9910  0.3150  0.8707  3 Bi 2.45-2.63

- VASP energy (eV per atom) = -3.84
- spin magnetization (Bohr magnetons per cell) = 0.000
- D(E_F) (states/eV per cell) = 1.7

Bi3HF | PBE | optimized geometry

Cell: 4.8038 4.8038 4.8038 Å, 90.00 90.00 90.00°
With the nearest neighbours (Å) after each atom.
Sites, in units of the cell vectors:
Bi  0.0000  0.0000  0.5000  2 H 2.40
Bi  0.0000  0.5000  0.0000  2 H 2.40
Bi  0.5000  0.0000  0.0000  2 H 2.40
H  0.0000  0.0000  0.0000  6 Bi 2.40
F  0.5000  0.5000  0.5000  12 Bi 3.40

- VASP energy (eV per atom) = -3.45
- spin magnetization (Bohr magnetons per cell) = 0.000
- D(E_F) (states/eV per cell) = 2.8

BiH2F2 | PBE | optimized geometry

Cell: 4.2572 4.2572 4.2572 Å, 117.80 117.80 93.86°
With the nearest neighbours (Å) after each atom.
Sites, in units of the cell vectors:
Bi  0.0000  0.0000  0.0000  2 H 2.52, 8 F 2.64
H  0.4340  0.4340  0.0000  1 H 0.77
H  0.5660  0.5660  0.0000  1 H 0.77
F  0.2500  0.7500  0.5000  4 H 2.45, 4 Bi 2.64
F  0.7500  0.2500  0.5000  4 H 2.45, 4 Bi 2.64

- VASP energy (eV per atom) = -3.81
- spin magnetization (Bohr magnetons per cell) = 0.000
- D(E_F) (states/eV per cell) = 2.1

Bi2H2F7 | PBE | optimized geometry

Cell: 6.2236 6.2236 4.0380 Å, 91.39 91.39 107.46°
With the nearest neighbours (Å) after each atom.
Sites, in units of the cell vectors:
Bi  0.1837  0.8163  0.0000  6 F 2.26-2.46
Bi  0.8163  0.1837  0.0000  6 F 2.26-2.46
H  0.3855  0.3855  0.6585  1 F 1.08
H  0.6145  0.6145  0.3415  1 F 1.08
F  0.1060  0.1060  0.2675  2 Bi 2.26, 1 F 2.49
F  0.1600  0.4303  0.8132  1 H 1.64
F  0.4303  0.1600  0.8132  1 H 1.64
F  0.5000  0.5000  0.5000  2 H 1.08
F  0.5697  0.8400  0.1868  1 H 1.64
F  0.8400  0.5697  0.1868  1 H 1.64
F  0.8940  0.8940  0.7325  2 Bi 2.26, 1 F 2.49

- VASP energy (eV per atom) = -4.24
- spin magnetization (Bohr magnetons per cell) = 0.000
- D(E_F) (states/eV per cell) = 2.2

Bi2HF8 | PBE | optimized geometry

Cell: 5.7988 5.7988 4.8604 Å, 90.45 90.45 77.49°
With the nearest neighbours (Å) after each atom.
Sites, in units of the cell vectors:
Bi  0.2061  0.2061  0.4140  7 F 2.22-2.35
Bi  0.7939  0.7939  0.5860  7 F 2.22-2.35
H  0.5000  0.5000  0.0000  2 F 1.15
F  0.0395  0.0395  0.7474  2 Bi 2.22-2.35
F  0.1164  0.5087  0.7168  2 Bi 2.26-2.30, 1 F 2.51
F  0.4256  0.4256  0.1911  1 H 1.15
F  0.4913  0.8836  0.2832  2 Bi 2.26-2.30, 1 F 2.51
F  0.5087  0.1164  0.7168  2 Bi 2.26-2.30, 1 F 2.51
F  0.5744  0.5744  0.8089  1 H 1.15
F  0.8836  0.4913  0.2832  2 Bi 2.26-2.30, 1 F 2.51
F  0.9605  0.9605  0.2526  2 Bi 2.22-2.35

- VASP energy (eV per atom) = -4.41
- spin magnetization (Bohr magnetons per cell) = 0.000
- D(E_F) (states/eV per cell) = 5.4

BiH2F | PBE | optimized geometry

Cell: 3.8875 3.8875 3.8875 Å, 60.00 60.00 60.00°
With the nearest neighbours (Å) after each atom.
Sites, in units of the cell vectors:
Bi  0.0000  0.0000  0.0000  8 H 2.38
H  0.2500  0.2500  0.2500  4 F 2.38, 4 Bi 2.38
H  0.7500  0.7500  0.7500  4 F 2.38, 4 Bi 2.38
F  0.5000  0.5000  0.5000  8 H 2.38

- VASP energy (eV per atom) = -3.32
- spin magnetization (Bohr magnetons per cell) = 0.000
- D(E_F) (states/eV per cell) = 0.1

Question: Look up the D(E_F) of the second one.
Answer: 0.9 states/eV per cell

Question: The highest VASP energy belongs to which entry?
Answer: BiH2F

Question: The highest VASP energy belongs to which entry?
Answer: BiH2F

Question: What is the VASP energy in the eighth record?
Answer: -3.32 eV per atom